RuPb2Se: single point on PBEsol structure, meta-GGA SCAN.

Values from the calculation:
E_form (uncorrected) = 0.475 eV per atom

Unit cell a=3.4319 b=5.0400 c=5.0400 alpha=100.80 beta=94.40 gamma=94.40
Last column: nearest neighbours and their distance in Å.
Fractional positions:
Pb 0.0000 0.5000 0.0000  4 Se 2.94-3.16, 4 Ru 2.94-3.16, 2 Pb 3.21
Pb 0.0000 0.0000 0.5000  4 Ru 2.94-3.16, 4 Se 2.94-3.16, 2 Pb 3.21
Ru 0.5000 0.5000 0.5000  8 Pb 2.94-3.16, 2 Se 3.21
Se 0.5000 0.0000 0.0000  8 Pb 2.94-3.16, 2 Ru 3.21

=====

Na2GeF6: single point on PBEsol structure, meta-GGA SCAN.

Values from the calculation:
E_form (uncorrected) = -2.811 eV per atom
ΔE to the lowest computed polymorph = 45 meV per atom

Unit cell a=4.5627 b=9.4330 c=9.4330 alpha=120.00 beta=90.00 gamma=90.00
Last column: nearest neighbours and their distance in Å.
Fractional positions:
F 0.2717 0.4830 0.2415  1 Ge 1.82
Ge 0.5026 0.3333 0.6667  6 F 1.82
F 0.7283 0.2415 0.7585  1 Ge 1.82
Na 0.0000 0.6571 0.6571  6 F 2.29-2.34
F 0.2756 0.4252 0.5748  1 Ge 1.82
F 0.7283 0.2415 0.4830  1 Ge 1.82
Na 0.0000 0.0000 0.6571  6 F 2.29-2.34
Na 0.0000 0.6571 0.0000  6 F 2.29-2.34
F 0.2756 0.4252 0.8504  1 Ge 1.82
F 0.7283 0.5170 0.7585  1 Ge 1.82
Ge 0.4974 0.6667 0.3333  6 F 1.82
Na 0.0000 0.0000 0.3429  6 F 2.29-2.34
Ge 0.0000 0.0000 0.0000  6 F 1.82
F 0.2179 0.0932 0.1865  1 Ge 1.82
F 0.7244 0.8504 0.4252  1 Ge 1.82
F 0.7244 0.5748 0.4252  1 Ge 1.82
F 0.7821 0.9068 0.8135  1 Ge 1.82
F 0.7821 0.9068 0.0932  1 Ge 1.82
F 0.7244 0.5748 0.1496  1 Ge 1.82
Na 0.0000 0.3429 0.0000  6 F 2.29-2.34
Na 0.0000 0.3429 0.3429  6 F 2.29-2.34
F 0.2717 0.7585 0.5170  1 Ge 1.82
F 0.2756 0.1496 0.5748  1 Ge 1.82
F 0.2717 0.7585 0.2415  1 Ge 1.82
F 0.2179 0.8135 0.9068  1 Ge 1.82
F 0.2179 0.0932 0.9068  1 Ge 1.82
F 0.7821 0.1865 0.0932  1 Ge 1.82

=====

Zr6Cr7: single point on PBEsol structure, meta-GGA SCAN.

Values from the calculation:
ΔH_f (0 K) = 0.1129 eV/atom

Unit cell a=4.9486 b=4.9486 c=10.0812 alpha=75.79 beta=75.79 gamma=60.00
Last column: nearest neighbours and their distance in Å.
Fractional positions:
Cr 0.5000 0.5000 0.5000  6 Cr 2.53
Zr 0.1498 0.1498 0.5505  12 Cr 2.90-2.94, 4 Zr 2.96-3.02
Cr 0.0917 0.5970 0.7144  5 Cr 2.45-2.53
Zr 0.8502 0.8502 0.4495  12 Cr 2.90-2.94, 4 Zr 2.96-3.02
Cr 0.9083 0.4030 0.2856  5 Cr 2.45-2.53
Cr 0.5970 0.0917 0.7144  5 Cr 2.45-2.53
Zr 0.0479 0.0479 0.8564  2 Zr 2.78-2.96, 6 Cr 2.83
Zr 0.9521 0.9521 0.1436  2 Zr 2.78-2.96, 6 Cr 2.83
Cr 0.4030 0.4030 0.2856  5 Cr 2.45-2.53
Cr 0.5970 0.5970 0.7144  5 Cr 2.45-2.53
Zr 0.3330 0.3330 0.0009  9 Zr 2.86-3.18, 6 Cr 3.09-3.12
Cr 0.4030 0.9083 0.2856  5 Cr 2.45-2.53
Zr 0.6670 0.6670 0.9991  9 Zr 2.86-3.18, 6 Cr 3.09-3.12

=====

LiNb2CdS: single point on PBEsol structure, meta-GGA SCAN.

Values from the calculation:
E_form (uncorrected) = 0.371 eV per atom

Unit cell a=4.5493 b=4.5493 c=4.9871 alpha=90.00 beta=90.00 gamma=90.00
Last column: nearest neighbours and their distance in Å.
Fractional positions:
Nb 0.0000 0.5000 0.0000  2 S 2.27
Cd 0.0000 0.0000 0.5000  2 S 2.49
Nb 0.5000 0.0000 0.0000  2 S 2.27
S 0.0000 0.0000 0.0000  4 Nb 2.27, 2 Cd 2.49
Li 0.5000 0.5000 0.5000  4 Cd 3.22, 8 Nb 3.38

=====

CdClF2: single point on PBEsol structure, meta-GGA SCAN.

Values from the calculation:
E_form (uncorrected) = -1.291 eV per atom

Unit cell a=6.9003 b=5.6254 c=6.9003 alpha=127.83 beta=90.00 gamma=127.83
Last column: nearest neighbours and their distance in Å.
Fractional positions:
Cd 0.0000 0.0000 0.0000  4 F 2.17
F 0.9626 0.2500 0.8750  2 Cd 2.17
Cl 0.5000 0.0000 0.5000  2 Cd 2.80, 8 F 2.94-2.98
Cd 0.2500 0.5000 0.7500  4 F 2.17
F 0.1250 0.7500 0.7126  2 Cd 2.17
Cl 0.7500 0.5000 0.2500  2 Cd 2.80, 8 F 2.94-2.98
F 0.2874 0.2500 0.3750  2 Cd 2.17
F 0.6250 0.7500 0.0374  2 Cd 2.17

=====

NaTi2CdN: single point on PBEsol structure, meta-GGA SCAN.

Values from the calculation:
E_form (uncorrected) = 1.457 eV per atom

Unit cell a=4.0803 b=5.3352 c=5.3352 alpha=90.00 beta=90.00 gamma=90.00
Last column: nearest neighbours and their distance in Å.
Fractional positions:
Ti 0.0000 0.0000 0.5000  2 Cd 2.67
Na 0.5000 0.5000 0.5000  8 Ti 3.36
Cd 0.0000 0.0000 0.0000  2 N 2.04
N 0.5000 0.0000 0.0000  2 Cd 2.04
Ti 0.0000 0.5000 0.0000  2 Cd 2.67

=====

| no. | mass density (g/cm3) |
| --- | --- |
| 1 | 11.61 |
| 2 | 3.30 |
| 3 | 7.38 |
| 4 | 5.43 |
| 5 | 4.63 |
| 6 | 3.50 |